SmSc4Si4 | PBE | relaxed

Calculated values
The value obtained for the formation energy from raw total energies is -527 meV per atom. The total magnetic moment comes out at 0.00 μB/f.u.

POSCAR file:
```
SmSc4Si4
1.0
5.3454 0.0000 0.0000
0.0000 8.8076 0.0000
0.0000 0.0000 8.8076
Sc Sm Si
8 2 8
Direct
0.3807 0.6417 0.1140 Sc
0.6193 0.1140 0.3583 Sc
0.8807 0.6140 0.8583 Sc
0.3807 0.3583 0.8860 Sc
0.6193 0.8860 0.6417 Sc
0.1193 0.8583 0.3860 Sc
0.8807 0.3860 0.1417 Sc
0.1193 0.1417 0.6140 Sc
0.0000 0.0000 0.0000 Sm
0.5000 0.5000 0.5000 Sm
0.1085 0.8383 0.6951 Si
0.3915 0.6617 0.8049 Si
0.1085 0.1617 0.3049 Si
0.6085 0.1951 0.6617 Si
0.6085 0.8049 0.3383 Si
0.8915 0.3049 0.8383 Si
0.3915 0.3383 0.1951 Si
0.8915 0.6951 0.1617 Si
```

Rb3Rh2Br8 | PBE | relaxed

Calculated values
The value obtained for the formation energy from raw total energies is -858 meV per atom. The total magnetic moment comes out at 1.05 μB/f.u.

POSCAR file:
```
Rb3Rh2Br8
1.0
-4.3931 3.8582 5.0832
2.9743 0.1775 7.1517
3.6450 8.9067 2.8701
Br Rh Rb
8 2 3
Direct
0.6770 0.6770 0.3982 Br
0.3230 0.3230 0.6018 Br
0.8111 0.2265 0.6751 Br
0.3666 0.3665 0.9407 Br
0.2265 0.8111 0.6751 Br
0.1889 0.7735 0.3249 Br
0.7735 0.1889 0.3249 Br
0.6334 0.6335 0.0593 Br
0.4978 0.4978 0.6551 Rh
0.5022 0.5022 0.3449 Rh
0.7907 0.7906 0.6680 Rb
0.0000 0.0000 0.0000 Rb
0.2093 0.2094 0.3320 Rb
```

YZr2Nb | PBE | relaxed

Calculated values
The formation energy comes out at 0.5815 eV/atom. The calculation puts the energy above the most stable polymorph in this dataset at 483 meV per atom. The total magnetic moment comes out at 0.00 μB/f.u.

POSCAR file:
```
YZr2Nb
1.0
7.9229 0.0000 0.0000
0.0000 7.9229 0.0000
3.9614 3.9614 3.0980
Zr Y Nb
4 2 2
Direct
0.3750 0.3475 0.7500 Zr
0.0975 0.6250 0.2500 Zr
0.6525 0.1250 0.2500 Zr
0.8750 0.9025 0.7500 Zr
0.5000 0.5000 0.0000 Y
0.2500 0.7500 0.5000 Y
0.0000 0.0000 0.0000 Nb
0.7500 0.2500 0.5000 Nb
```